Entry from the Alexandria database: a geometry-optimized CsCd2I6 structure (PBE).

For the total magnetization, the calculation gives 0.8 Bohr magnetons per cell. As for the uncorrected formation energy: -628 meV per atom.

Lattice parameters (Å, degrees): 18.614 4.500 12.844 90.00 120.64 90.00
Space group C2/m (No. 12)
Symmetry-distinct sites (fractional):
1 Cs 0.000 0.000 0.000 (multiplicity 2)
2 Cd 0.174 0.000 0.713 (multiplicity 4)
3 I 0.023 0.000 0.710 (multiplicity 4)
4 I 0.181 0.500 0.055 (multiplicity 4)
5 I 0.189 0.500 0.587 (multiplicity 4)